Material: AcPu2Bi
Method: DFT, PBE
State: relaxed

The calculation puts the final energy at -37.4 eV for the cell shown. The calculation puts the density of states at the Fermi level at 12.01 states/eV/f.u. The calculation puts the energy above the lowest structure with this stoichiometry at 0 meV per atom. The value obtained for the formation energy is -0.1804 eV per atom. As for the size of the total moment: 12.92 μB per formula unit.

a b c (Å): 4.8983 4.8983 5.2248
angles (deg): 90.00 90.00 90.00
Space group P4/mmm (No. 123)
Inequivalent atoms, fractional coordinates:
Ac 0.0000 0.0000 0.0000
Pu 0.0000 0.5000 0.5000
Bi 0.5000 0.5000 0.0000

Material: Ca2SbPt
Method: DFT, PBE
State: relaxed

Its formation energy (no corrections) is -0.901 eV/atom. The calculation puts the final energy at -35.5 eV for the cell shown. The calculation puts the density of states at the Fermi level at 2.92 states/eV/f.u. As for the size of the total moment: 0.00 μB per formula unit.

a b c (Å): 6.0591 4.4371 8.3918
angles (deg): 90.00 108.83 90.00
Space group P2_1/m (No. 11)
Inequivalent atoms, fractional coordinates:
Ca 0.1783 0.2500 0.4101
Ca 0.2610 0.7500 0.0587
Sb 0.3719 0.7500 0.7079
Pt 0.1582 0.2500 0.7860

Material: BaCu2IO2
Method: DFT, PBE
State: relaxed

Its formation energy (no corrections) is -1.065 eV/atom. The calculation puts the final energy at -55.9 eV for the cell shown. The calculation puts the density of states at the Fermi level at 2.42 states/eV/f.u. As for the size of the total moment: 0.00 μB per formula unit.

a b c (Å): 6.7857 5.9435 8.3199
angles (deg): 90.00 103.56 90.00
Space group P2_1/m (No. 11)
Inequivalent atoms, fractional coordinates:
Ba 0.0339 0.2500 0.3232
Cu 0.3531 0.7500 0.5272
Cu 0.4145 0.2500 0.6720
I 0.2391 0.7500 0.1223
O 0.2421 0.0141 0.5762

Material: KLi2Mn
Method: DFT, PBE
State: relaxed

The calculation puts the final energy at -11.5 eV for the cell shown. The calculation puts the density of states at the Fermi level at 3.36 states/eV/f.u. The calculation puts the energy above the lowest structure with this stoichiometry at 196 meV per atom. The value obtained for the formation energy is 0.6560 eV per atom. As for the size of the total moment: 4.19 μB per formula unit.

a b c (Å): 3.2864 5.5880 5.9558
angles (deg): 90.00 90.00 90.00
Space group Pmmm (No. 47)
Inequivalent atoms, fractional coordinates:
K 0.0000 0.0000 0.0000
Li 0.0000 0.5000 0.5000
Li 0.5000 0.5000 0.0000
Mn 0.5000 0.0000 0.5000

Material: Cd2CuHgP
Method: DFT, PBE
State: relaxed

The calculation puts the final energy at -10.7 eV for the cell shown. The calculation puts the density of states at the Fermi level at 3.48 states/eV/f.u. The value obtained for the formation energy is 0.1914 eV per atom. As for the size of the total moment: 0.00 μB per formula unit.

a b c (Å): 5.3430 5.3430 4.3038
angles (deg): 90.00 90.00 90.00
Space group P4/mmm (No. 123)
Inequivalent atoms, fractional coordinates:
Cd 0.0000 0.5000 0.0000
Cu 0.0000 0.0000 0.5000
Hg 0.5000 0.5000 0.5000
P 0.0000 0.0000 0.0000

Material: TbMgCdGe
Method: DFT, PBE
State: relaxed

The calculation puts the final energy at -51.7 eV for the cell shown. The calculation puts the density of states at the Fermi level at 3.22 states/eV/f.u. The value obtained for the formation energy is -0.2949 eV per atom. As for the size of the total moment: 0.00 μB per formula unit.

a b c (Å): 7.1027 7.1027 7.1027
angles (deg): 90.00 90.00 90.00
Space group F-43m (No. 216)
Inequivalent atoms, fractional coordinates:
Tb 0.0000 0.0000 0.0000
Mg 0.0000 0.0000 0.5000
Cd 0.2500 0.2500 0.2500
Ge 0.2500 0.2500 0.7500

Material: ErLuZnOs
Method: DFT, PBE
State: relaxed

The calculation puts the final energy at -91.8 eV for the cell shown. The calculation puts the density of states at the Fermi level at 3.10 states/eV/f.u. The value obtained for the formation energy is -0.3398 eV per atom. As for the size of the total moment: 0.00 μB per formula unit.

a b c (Å): 6.8358 6.8358 6.8358
angles (deg): 90.00 90.00 90.00
Space group F-43m (No. 216)
Inequivalent atoms, fractional coordinates:
Er 0.0000 0.0000 0.0000
Lu 0.0000 0.0000 0.5000
Zn 0.2500 0.2500 0.2500
Os 0.2500 0.2500 0.7500

Material: CaGa2O4
Method: DFT, PBE
State: relaxed

Its formation energy (no corrections) is -2.152 eV/atom. The calculation puts the final energy at -171.8 eV for the cell shown. The calculation puts the density of states at the Fermi level at 0.00 states/eV/f.u. The calculation puts the energy above the lowest structure with this stoichiometry at 86 meV per atom. As for the size of the total moment: 0.00 μB per formula unit.

a b c (Å): 3.4922 10.6500 9.3129
angles (deg): 90.00 90.00 90.00
Space group Pbcm (No. 57)
Inequivalent atoms, fractional coordinates:
Ca 0.1532 0.1500 0.2500
Ga 0.4915 0.6134 0.5723
O 0.2202 0.2500 0.0000
O 0.3005 0.5490 0.1041
O 0.3172 0.6758 0.7500

Material: DyMgAl
Method: DFT, PBE
State: relaxed

The calculation puts the final energy at -20.9 eV for the cell shown. The calculation puts the density of states at the Fermi level at 1.75 states/eV/f.u. The value obtained for the formation energy is -0.1713 eV per atom. As for the size of the total moment: 0.02 μB per formula unit.

a b c (Å): 3.3478 3.3478 12.4127
angles (deg): 90.00 90.00 90.00
Space group I4mm (No. 107)
Inequivalent atoms, fractional coordinates:
Dy 0.0000 0.0000 0.0000
Mg 0.0000 0.0000 0.3021
Al 0.0000 0.0000 0.6597

Material: LaSmPbI
Method: DFT, PBE
State: relaxed

Its formation energy (no corrections) is -0.694 eV/atom. The calculation puts the final energy at -70.7 eV for the cell shown. The calculation puts the density of states at the Fermi level at 3.86 states/eV/f.u. As for the size of the total moment: 0.00 μB per formula unit.

a b c (Å): 7.9287 7.9287 7.9287
angles (deg): 90.00 90.00 90.00
Space group F-43m (No. 216)
Inequivalent atoms, fractional coordinates:
La 0.0000 0.0000 0.0000
Sm 0.0000 0.0000 0.5000
Pb 0.2500 0.2500 0.7500
I 0.2500 0.2500 0.2500

Material: K2TlInF4
Method: DFT, PBE
State: relaxed

Its formation energy (no corrections) is -2.182 eV/atom. The calculation puts the final energy at -129.0 eV for the cell shown. The calculation puts the density of states at the Fermi level at 0.00 states/eV/f.u. As for the size of the total moment: 0.00 μB per formula unit.

a b c (Å): 7.7823 7.8491 11.0428
angles (deg): 90.00 90.00 90.00
Space group Imma (No. 74)
Inequivalent atoms, fractional coordinates:
K 0.0000 0.0000 0.0000
K 0.2500 0.2500 0.2500
Tl 0.0000 0.0000 0.5000
In 0.2500 0.2500 0.7500
F 0.0000 0.0074 0.2443
F 0.2396 0.2500 0.0024

Material: HgAsSe2
Method: DFT, PBE
State: relaxed

Its formation energy (no corrections) is 0.443 eV/atom. The calculation puts the final energy at -30.4 eV for the cell shown. The calculation puts the density of states at the Fermi level at 3.09 states/eV/f.u. The calculation puts the energy above the lowest structure with this stoichiometry at 510 meV per atom. As for the size of the total moment: 0.00 μB per formula unit.

a b c (Å): 3.0017 3.0017 34.9791
angles (deg): 90.00 90.00 120.00
Space group R-3m (No. 166, hexagonal axes)
Inequivalent atoms, fractional coordinates:
Hg 0.0000 0.0000 0.0000
As 0.0000 0.0000 0.5000
Se 0.0000 0.0000 0.2385